# 1
First-principles (GGA+U) data for crystalline TbVBrO4 at its relaxed geometry, as listed in Alexandria via LeMat-Bulk.

Lattice parameters (Å, degrees): 6.7531 6.7531 6.7995 78.58 78.58 56.32
Closest atoms and distances in Å follow each position.
Element x y z (fractional)
O (0.5143, 0.5143, 0.2316)  1 V 1.71
O (0.5333, 0.1105, 0.1242)  1 V 1.79
O (0.6988, 0.6988, 0.4906)  1 V 1.71
O (0.3012, 0.3012, 0.5094)  1 V 1.71
O (0.8895, 0.4667, 0.8758)  1 V 1.79
O (0.4857, 0.4857, 0.7684)  1 V 1.71
O (0.1105, 0.5333, 0.1242)  1 V 1.79
O (0.4667, 0.8895, 0.8758)  1 V 1.79
V (0.6319, 0.6319, 0.7407)  4 O 1.71-1.79
V (0.3681, 0.3681, 0.2593)  4 O 1.71-1.79
Br (0.9755, 0.9755, 0.6735)  1 Br 2.30
Br (0.0245, 0.0245, 0.3265)  1 Br 2.30
Tb (0.2940, 0.2940, 0.8406)  6 O 2.22-2.44
Tb (0.7060, 0.7060, 0.1594)  6 O 2.22-2.44

Summary:
Symmetry: C2/m, No. 12
Total moment, μB/f.u.: 0.00
Crystal system: monoclinic
Calculated total energy, Ry/atom: -0.516

=====

# 2
First-principles (GGA+U) data for crystalline TbWBrO4 at its relaxed geometry, as listed in Alexandria via LeMat-Bulk.

Lattice parameters (Å, degrees): 6.4688 6.4688 7.0237 75.77 75.77 69.20
Closest atoms and distances in Å follow each position.
Element x y z (fractional)
W (0.3651, 0.3651, 0.2647)  4 O 1.80-1.83
W (0.6349, 0.6349, 0.7353)  4 O 1.80-1.83
O (0.4926, 0.1099, 0.1537)  1 W 1.83
O (0.5074, 0.8901, 0.8463)  1 W 1.83
O (0.3010, 0.3010, 0.5321)  1 W 1.80
O (0.4571, 0.4571, 0.8074)  1 W 1.81
O (0.1099, 0.4926, 0.1537)  1 W 1.83
O (0.5429, 0.5429, 0.1926)  1 W 1.81
O (0.8901, 0.5074, 0.8463)  1 W 1.83
O (0.6990, 0.6990, 0.4679)  1 W 1.80
Tb (0.2305, 0.2305, 0.8788)  4 O 2.31-2.32
Tb (0.7695, 0.7695, 0.1212)  4 O 2.31-2.32
Br (0.9892, 0.9892, 0.7562)  2 Tb 2.91-2.94, 1 O 3.22
Br (0.0108, 0.0108, 0.2438)  2 Tb 2.91-2.94, 1 O 3.22

Summary:
Fermi-level density of states, states/eV/f.u.: 0.0
Symmetry: C2/m, No. 12
Total moment, μB/f.u.: 0.00
Offset from the most stable computed form, meV per atom: 6
Crystal system: monoclinic
Calculated total energy, Ry/atom: -0.525

=====

# 3
First-principles (GGA+U) data for crystalline TbWBrO4 at its relaxed geometry, as listed in Alexandria via LeMat-Bulk.

Lattice parameters (Å, degrees): 7.0822 7.3857 11.1074 102.45 108.84 94.91
Closest atoms and distances in Å follow each position.
Element x y z (fractional)
Br (0.2655, 0.0284, 0.5178)  2 Tb 2.91-2.96, 1 O 3.13
Br (0.8031, 0.2715, 0.0126)  2 Tb 2.92-3.07, 3 O 3.22-3.25
Br (0.7345, 0.9716, 0.4822)  2 Tb 2.91-2.96, 1 O 3.13
Br (0.1969, 0.7285, 0.9874)  2 Tb 2.92-3.07, 3 O 3.22-3.25
O (0.9942, 0.8882, 0.2018)  1 W 1.80
O (0.6477, 0.7412, 0.9567)  1 W 1.80
O (0.3449, 0.3747, 0.8028)  1 W 1.81
O (0.9712, 0.3518, 0.3315)  1 W 1.80
O (0.6559, 0.4959, 0.4452)  1 W 1.83
O (0.0058, 0.1118, 0.7982)  1 W 1.80
O (0.4011, 0.9895, 0.8072)  1 W 1.86
O (0.6551, 0.6253, 0.1972)  1 W 1.81
O (0.3439, 0.2228, 0.2938)  1 W 1.87
O (0.2742, 0.6111, 0.3049)  1 W 1.80
O (0.7258, 0.3889, 0.6951)  1 W 1.80
O (0.6561, 0.7772, 0.7062)  1 W 1.87
O (0.3523, 0.2588, 0.0433)  1 W 1.80
O (0.5989, 0.0105, 0.1928)  1 W 1.86
O (0.3441, 0.5041, 0.5548)  1 W 1.83
O (0.0288, 0.6482, 0.6685)  1 W 1.80
Tb (0.6666, 0.0976, 0.7295)  4 O 2.26-2.45
Tb (0.3725, 0.6644, 0.7658)  6 O 2.27-2.44
Tb (0.6275, 0.3356, 0.2342)  6 O 2.27-2.44
Tb (0.3334, 0.9024, 0.2705)  4 O 2.26-2.45
W (0.7602, 0.5820, 0.6244)  4 O 1.80-1.87
W (0.2762, 0.1835, 0.8668)  4 O 1.80-1.86
W (0.2398, 0.4180, 0.3756)  4 O 1.80-1.87
W (0.7238, 0.8165, 0.1332)  4 O 1.80-1.86

Summary:
Fermi-level density of states, states/eV/f.u.: 0.0
Symmetry: P-1, No. 2
Total moment, μB/f.u.: 0.00
Offset from the most stable computed form, meV per atom: 0
Crystal system: triclinic
Calculated total energy, Ry/atom: -0.525